Entry 1:
First-principles (PBEsol) data for an optimized crystal structure of Ag5GeO4, as listed in Alexandria.

Summary:
The space-group type is P2_1/c. For the total magnetization, the calculation gives 0.0 μB per formula unit. The calculation puts the final energy at -4.7704 eV/atom.

Cell lengths 6.4257, 9.8031, 10.9194 Å; angles 90.00, 124.56, 90.00 degrees
Atoms (fractional coordinates):
Ag (0.0673, 0.0814, 0.4102)
Ag (0.0673, 0.4186, 0.9102)
Ag (0.2011, 0.6224, 0.4227)
Ag (0.2011, 0.8776, 0.9227)
Ag (0.3269, 0.0939, 0.8017)
Ag (0.3269, 0.4061, 0.3017)
Ag (0.3483, 0.1248, 0.0579)
Ag (0.3483, 0.3752, 0.5579)
Ag (0.3982, 0.6446, 0.1212)
Ag (0.3982, 0.8554, 0.6212)
Ag (0.6018, 0.1446, 0.3788)
Ag (0.6018, 0.3554, 0.8788)
Ag (0.6517, 0.6248, 0.4421)
Ag (0.6517, 0.8752, 0.9421)
Ag (0.6731, 0.5939, 0.6983)
Ag (0.6731, 0.9061, 0.1983)
Ag (0.7989, 0.1224, 0.0773)
Ag (0.7989, 0.3776, 0.5773)
Ag (0.9327, 0.5814, 0.0898)
Ag (0.9327, 0.9186, 0.5898)
Ge (0.2455, 0.6132, 0.7576)
Ge (0.2455, 0.8868, 0.2576)
Ge (0.7545, 0.1132, 0.7424)
Ge (0.7545, 0.3868, 0.2424)
O (0.0762, 0.7113, 0.5910)
O (0.0762, 0.7887, 0.0910)
O (0.1112, 0.6415, 0.8606)
O (0.1112, 0.8585, 0.3606)
O (0.2186, 0.0653, 0.2218)
O (0.2186, 0.4347, 0.7218)
O (0.4295, 0.1557, 0.6398)
O (0.4295, 0.3443, 0.1398)
O (0.5705, 0.6557, 0.8602)
O (0.5705, 0.8443, 0.3602)
O (0.7814, 0.5653, 0.2782)
O (0.7814, 0.9347, 0.7782)
O (0.8888, 0.1415, 0.6394)
O (0.8888, 0.3585, 0.1394)
O (0.9238, 0.2113, 0.9090)
O (0.9238, 0.2887, 0.4090)

Entry 2:
First-principles (PBEsol) data for an optimized crystal structure of AgGeO3, as listed in Alexandria.

Summary:
The space-group type is Pm-3m. For the total magnetization, the calculation gives 1.0 μB per formula unit. The calculation puts the final energy at -5.4990 eV/atom. Its density of states at the Fermi level is 0.940 states/eV/atom.

Cell lengths 3.7415, 3.7415, 3.7415 Å; angles 90.00, 90.00, 90.00 degrees
Atoms (fractional coordinates):
Ag (0.0000, 0.0000, 0.0000)
Ge (0.5000, 0.5000, 0.5000)
O (0.0000, 0.5000, 0.5000)
O (0.5000, 0.0000, 0.5000)
O (0.5000, 0.5000, 0.0000)

Entry 3:
First-principles (PBEsol) data for an optimized crystal structure of Ag3GeOs, as listed in Alexandria.

Summary:
The space-group type is Pm-3m. For the total magnetization, the calculation gives 2.0 μB per formula unit. The formation energy is 1.546 eV per atom. The calculation puts the final energy at -3.8718 eV/atom. Its density of states at the Fermi level is 0.679 states/eV/atom.

Cell lengths 4.6225, 4.6225, 4.6225 Å; angles 90.00, 90.00, 90.00 degrees
Atoms (fractional coordinates):
Ag (0.0000, 0.0000, 0.5000)
Ag (0.0000, 0.5000, 0.0000)
Ag (0.5000, 0.0000, 0.0000)
Ge (0.0000, 0.0000, 0.0000)
Os (0.5000, 0.5000, 0.5000)

The highest total magnetization belongs to which entry? Ag3GeOs